This record from Alexandria via LeMat-Bulk describes a geometry-optimized Na3ZrSc structure. The functional is PBE-GGA.

Lattice parameters (Å, degrees): 5.6806 5.6806 5.6806 90.00 90.00 90.00
Closest atoms and distances in Å follow each position.
Sites, in units of the cell vectors:
Na 0.0000 0.0000 0.5000  2 Zr 2.84
Na 0.0000 0.5000 0.0000  2 Zr 2.84
Na 0.5000 0.0000 0.0000  2 Zr 2.84
Zr 0.0000 0.0000 0.0000  6 Na 2.84
Sc 0.5000 0.5000 0.5000  12 Na 4.02

Results
Symmetry ... Pm-3m
Calculated total energy ... -2.327 eV/atom


This record from Alexandria via LeMat-Bulk describes a geometry-optimized NaZrSc structure. The functional is PBE-GGA.

Lattice parameters (Å, degrees): 3.2299 3.2301 15.3094 90.01 90.09 90.01
Closest atoms and distances in Å follow each position.
Sites, in units of the cell vectors:
Na 0.0000 0.0000 0.0000  4 Na 3.23, 4 Zr 3.61-3.62
Na 0.4940 0.4992 0.2002  4 Na 3.23, 4 Sc 3.57-3.58
Zr 0.4999 0.5011 0.8172  8 Zr 3.12-3.23
Zr 0.9990 0.0011 0.6787  8 Zr 3.12-3.23, 4 Sc 3.25
Sc 0.4975 0.5009 0.5275  8 Sc 3.21-3.23, 4 Zr 3.25
Sc 0.9956 0.0007 0.3798  8 Sc 3.21-3.23, 4 Na 3.57-3.58

Results
Symmetry ... P1
Calculated total energy ... -5.262 eV/atom


This record from Alexandria via LeMat-Bulk describes a geometry-optimized NaZrSc structure. The functional is PBE-GGA.

Lattice parameters (Å, degrees): 5.1404 5.1404 5.1404 60.00 60.00 60.00
Closest atoms and distances in Å follow each position.
Sites, in units of the cell vectors:
Na 0.0000 0.0000 0.0000  4 Sc 3.15
Zr 0.5000 0.5000 0.5000  4 Sc 3.15
Sc 0.2500 0.2500 0.2500  4 Zr 3.15, 4 Na 3.15

Results
Symmetry ... F-43m
Calculated total energy ... -4.109 eV/atom


This record from Alexandria via LeMat-Bulk describes a geometry-optimized NaZrSc structure. The functional is PBE-GGA.

Lattice parameters (Å, degrees): 5.2465 5.2465 6.4978 90.00 90.00 120.00
Closest atoms and distances in Å follow each position.
Sites, in units of the cell vectors:
Na 0.3333 0.6667 0.2500  5 Zr 3.03-3.25
Na 0.6667 0.3333 0.7500  5 Zr 3.03-3.25
Zr 0.3333 0.6667 0.7500  5 Na 3.03-3.25
Zr 0.6667 0.3333 0.2500  5 Na 3.03-3.25
Sc 0.0000 0.0000 0.0000  2 Sc 3.25, 6 Na 3.44, 6 Zr 3.44
Sc 0.0000 0.0000 0.5000  2 Sc 3.25, 6 Zr 3.44, 6 Na 3.44

Results
Symmetry ... P6_3/mmc
Calculated total energy ... -4.691 eV/atom


no.,ΔE_f (eV per formula unit),ΔE to the lowest computed polymorph (meV/atom)
1,7.20,5
2,0.41,54
3,3.87,1207
4,2.13,625